# SmThNiRh

A relaxed SmThNiRh crystal (GGA-PBE, the Alexandria database).

## Properties
**E_form**: -0.63 eV/atom
**DOS at the Fermi energy**: 0.66 states/eV/atom

```
SmThNiRh
1.0
4.464 0.000 0.000
0.000 1.903 5.207
0.000 -1.903 5.207
Sm Th Ni Rh
1 1 1 1
Direct
0.000 0.000 0.000 Sm
0.500 0.275 0.275 Th
0.000 0.724 0.724 Ni
0.500 0.552 0.552 Rh
```